## RbNiTe2AuS (PBE)

Data for an optimized crystal structure of RbNiTe2AuS.

CIF file:
```
data_RbNiTe2AuS
_chemical_formula_sum 'Rb4 Ni4 Te8 Au4 S4'
_symmetry_space_group_name_H-M 'C m c m'
_symmetry_Int_Tables_number 63
_symmetry_space_group_name_Hall '-C 2c 2'
_cell_length_a 4.0330
_cell_length_b 14.1137
_cell_length_c 11.7317
_cell_angle_alpha 90.00
_cell_angle_beta 90.00
_cell_angle_gamma 90.00
loop_
_atom_site_label
_atom_site_fract_x
_atom_site_fract_y
_atom_site_fract_z
Rb1 0.0000 0.2416 0.2500
Ni1 0.0000 0.5000 0.0000
Te1 0.0000 0.1107 0.5321
Au1 0.0000 0.0433 0.7500
S1 0.0000 0.4469 0.7500
```

Properties
Electronic total energy = -85.11 eV/cell


## TbDyHo (PBE)

Data for an optimized crystal structure of TbDyHo.

CIF file:
```
data_TbDyHo
_chemical_formula_sum 'Tb4 Dy4 Ho4'
_symmetry_space_group_name_H-M 'F -4 3 m'
_symmetry_Int_Tables_number 216
_symmetry_space_group_name_Hall 'F -4 2 3'
_cell_length_a 7.6305
_cell_length_b 7.6305
_cell_length_c 7.6305
_cell_angle_alpha 90.00
_cell_angle_beta 90.00
_cell_angle_gamma 90.00
loop_
_atom_site_label
_atom_site_fract_x
_atom_site_fract_y
_atom_site_fract_z
Tb1 0.0000 0.0000 0.0000
Dy1 0.0000 0.0000 0.5000
Ho1 0.2500 0.2500 0.7500
```

Properties
Energy relative to the elements = 0.72 eV/atom


## AlSiNiAu (PBE)

Data for an optimized crystal structure of AlSiNiAu.

CIF file:
```
data_AlSiNiAu
_chemical_formula_sum 'Al4 Si4 Ni4 Au4'
_symmetry_space_group_name_H-M 'F -4 3 m'
_symmetry_Int_Tables_number 216
_symmetry_space_group_name_Hall 'F -4 2 3'
_cell_length_a 6.1125
_cell_length_b 6.1125
_cell_length_c 6.1125
_cell_angle_alpha 90.00
_cell_angle_beta 90.00
_cell_angle_gamma 90.00
loop_
_atom_site_label
_atom_site_fract_x
_atom_site_fract_y
_atom_site_fract_z
Al1 0.0000 0.0000 0.0000
Si1 0.0000 0.0000 0.5000
Ni1 0.2500 0.2500 0.2500
Au1 0.2500 0.2500 0.7500
```

Properties
Polymorph energy (0 for the lowest one) = 0.00 eV/f.u.